CrNiAsRu2 after structural relaxation. Source: Alexandria via LeMat-Bulk, functional PBE.

Results
D(E_F): 1.137 states/eV per atom
space-group type: No. 123
energy: -32.876 eV for the cell shown

Cell: 4.4080 4.4080 4.3005 Å, 90.00 90.00 90.00°
Positions (direct):
Cr 0.0000 0.0000 0.0000
Ni 0.0000 0.0000 0.5000
As 0.5000 0.5000 0.5000
Ru 0.0000 0.5000 0.0000
Ru 0.5000 0.0000 0.0000